1.
A plane-wave DFT calculation with PBE-GGA was carried out for MgAsBr2 after structural relaxation.

Space group ... R-3m, No. 166
Energy above the most stable polymorph in this dataset ... 37 meV per atom

Unit cell a=12.5887 b=12.5887 c=12.5887 alpha=16.47 beta=16.47 gamma=16.47
Site moments in Bohr magnetons follow the coordinates.
Element x y z (fractional)
Br 0.5402 0.5402 0.5402  0.00
As 0.7500 0.7500 0.7500  0.42
Br 0.9598 0.9598 0.9598  0.00
Mg 0.2500 0.2500 0.2500  0.00

---

2.
A plane-wave DFT calculation with PBE-GGA was carried out for MgAs2Br after structural relaxation.

Space group ... Fm-3m, No. 225
Energy above the most stable polymorph in this dataset ... 827 meV per atom

Unit cell a=4.9766 b=4.9766 c=4.9766 alpha=60.00 beta=60.00 gamma=60.00
Element x y z (fractional)
Mg 0.0000 0.0000 0.0000
Br 0.5000 0.5000 0.5000
As 0.2500 0.2500 0.2500
As 0.7500 0.7500 0.7500

---

3.
A plane-wave DFT calculation with PBE-GGA was carried out for Mg2AsBr after structural relaxation.

Space group ... Fm-3m, No. 225
Energy above the most stable polymorph in this dataset ... 434 meV per atom

Unit cell a=4.9556 b=4.9556 c=4.9556 alpha=60.00 beta=60.00 gamma=60.00
Element x y z (fractional)
Mg 0.7500 0.7500 0.7500
As 0.0000 0.0000 0.0000
Mg 0.2500 0.2500 0.2500
Br 0.5000 0.5000 0.5000

---

4.
A plane-wave DFT calculation with PBE-GGA was carried out for Mg2AsBr after structural relaxation.

Space group ... Amm2, No. 38
Energy above the most stable polymorph in this dataset ... 108 meV per atom

Unit cell a=5.2269 b=4.3762 c=4.3759 alpha=76.70 beta=90.00 gamma=90.00
Element x y z (fractional)
Br 0.5000 0.8008 0.8004
Mg 0.0000 0.9587 0.9590
As 0.0000 0.3442 0.3443
Mg 0.5000 0.3964 0.3962

---

5.
A plane-wave DFT calculation with PBE-GGA was carried out for Mg4AsBr after structural relaxation.

Space group ... F-43m, No. 216

Unit cell a=5.8307 b=5.8307 c=5.8307 alpha=60.00 beta=60.00 gamma=60.00
Element x y z (fractional)
Mg 0.3766 0.3766 0.8702
Mg 0.3766 0.3766 0.3766
Br 0.0000 0.0000 0.0000
As 0.7500 0.7500 0.7500
Mg 0.8702 0.3766 0.3766
Mg 0.3766 0.8702 0.3766

---

6.
A plane-wave DFT calculation with PBE-GGA was carried out for MgAsBr3 after structural relaxation.

Space group ... Pm-3m, No. 221
Energy above the most stable polymorph in this dataset ... 159 meV per atom

Unit cell a=5.3873 b=5.3873 c=5.3873 alpha=90.00 beta=90.00 gamma=90.00
Site moments in Bohr magnetons follow the coordinates.
Element x y z (fractional)
Br 0.5000 0.0000 0.0000  0.02
As 0.0000 0.0000 0.0000  -0.03
Br 0.0000 0.0000 0.5000  0.02
Br 0.0000 0.5000 0.0000  0.03
Mg 0.5000 0.5000 0.5000  0.14

---

7.
A plane-wave DFT calculation with PBE-GGA was carried out for MgMnAsBr2 after structural relaxation.

Space group ... P4/mmm, No. 123
Energy above the most stable polymorph in this dataset ... 0 meV per atom

Unit cell a=5.0157 b=5.0157 c=5.1717 alpha=90.00 beta=90.00 gamma=90.00
Site moments in Bohr magnetons follow the coordinates.
Element x y z (fractional)
Br 0.5000 0.0000 0.0000  0.03
Mg 0.5000 0.5000 0.5000  0.03
Mn 0.0000 0.0000 0.0000  3.81
As 0.0000 0.0000 0.5000  -0.15
Br 0.0000 0.5000 0.0000  0.03

---

8.
A plane-wave DFT calculation with PBE-GGA was carried out for MgMoAs2Br after structural relaxation.

Space group ... P4/mmm, No. 123
Energy above the most stable polymorph in this dataset ... 0 meV per atom

Unit cell a=4.8251 b=4.8251 c=5.5300 alpha=90.00 beta=90.00 gamma=90.00
Element x y z (fractional)
Mg 0.5000 0.5000 0.5000
As 0.0000 0.5000 0.0000
Br 0.0000 0.0000 0.5000
Mo 0.0000 0.0000 0.0000
As 0.5000 0.0000 0.0000

---

9.
A plane-wave DFT calculation with PBE-GGA was carried out for MgAs2BrN after structural relaxation.

Space group ... P4/mmm, No. 123
Energy above the most stable polymorph in this dataset ... 0 meV per atom

Unit cell a=4.6092 b=4.3045 c=4.6092 alpha=90.00 beta=90.00 gamma=90.00
Element x y z (fractional)
Br 0.5000 0.5000 0.5000
As 0.5000 0.0000 0.0000
As 0.0000 0.0000 0.5000
Mg 0.0000 0.5000 0.0000
N 0.0000 0.0000 0.0000

---

10.
A plane-wave DFT calculation with PBE-GGA was carried out for MgAs2BrN after structural relaxation.

Space group ... P4/mmm, No. 123
Energy above the most stable polymorph in this dataset ... 72 meV per atom

Unit cell a=4.0938 b=4.0938 c=6.7107 alpha=90.00 beta=90.00 gamma=90.00
Site moments in Bohr magnetons follow the coordinates.
Element x y z (fractional)
As 0.5000 0.0000 0.0000  0.08
As 0.0000 0.5000 0.0000  0.08
N 0.0000 0.0000 0.0000  0.24
Br 0.0000 0.0000 0.5000  0.00
Mg 0.5000 0.5000 0.5000  0.00

---

11.
A plane-wave DFT calculation with PBE-GGA was carried out for MgAs2BrN after structural relaxation.

Space group ... P4/mmm, No. 123
Energy above the most stable polymorph in this dataset ... 876 meV per atom

Unit cell a=5.1383 b=5.1383 c=5.2609 alpha=90.00 beta=90.00 gamma=90.00
Site moments in Bohr magnetons follow the coordinates.
Element x y z (fractional)
Br 0.0000 0.0000 0.5000  -0.05
As 0.5000 0.0000 0.0000  -0.39
Mg 0.0000 0.0000 0.0000  0.00
N 0.5000 0.5000 0.5000  1.80
As 0.0000 0.5000 0.0000  -0.39

---

12.
A plane-wave DFT calculation with PBE-GGA was carried out for MgNbAs2Br after structural relaxation.

Space group ... P4/mmm, No. 123
Energy above the most stable polymorph in this dataset ... 0 meV per atom

Unit cell a=5.0197 b=5.0197 c=5.2894 alpha=90.00 beta=90.00 gamma=90.00
Element x y z (fractional)
Mg 0.5000 0.5000 0.5000
As 0.5000 0.0000 0.0000
As 0.0000 0.5000 0.0000
Nb 0.0000 0.0000 0.0000
Br 0.0000 0.0000 0.5000

---

13.
A plane-wave DFT calculation with PBE-GGA was carried out for MgNbAsBr2 after structural relaxation.

Space group ... P4/mmm, No. 123
Energy above the most stable polymorph in this dataset ... 0 meV per atom

Unit cell a=5.2016 b=5.2016 c=5.1266 alpha=90.00 beta=90.00 gamma=90.00
Site moments in Bohr magnetons follow the coordinates.
Element x y z (fractional)
Br 0.5000 0.0000 0.0000  0.01
Br 0.0000 0.5000 0.0000  0.01
As 0.0000 0.0000 0.5000  -0.01
Mg 0.5000 0.5000 0.5000  0.02
Nb 0.0000 0.0000 0.0000  0.17

---

14.
A plane-wave DFT calculation with PBE-GGA was carried out for MgNbAs2Br after structural relaxation.

Space group ... P4/mmm, No. 123
Energy above the most stable polymorph in this dataset ... 691 meV per atom

Unit cell a=4.8924 b=4.8924 c=5.1002 alpha=90.00 beta=90.00 gamma=90.00
Site moments in Bohr magnetons follow the coordinates.
Element x y z (fractional)
Nb 0.5000 0.5000 0.5000  2.33
As 0.0000 0.5000 0.0000  -0.11
Br 0.0000 0.0000 0.5000  -0.10
As 0.5000 0.0000 0.0000  -0.11
Mg 0.0000 0.0000 0.0000  0.01

---

15.
A plane-wave DFT calculation with PBE-GGA was carried out for MgNbAsBr2 after structural relaxation.

Space group ... P4/mmm, No. 123
Energy above the most stable polymorph in this dataset ... 471 meV per atom

Unit cell a=4.8950 b=4.8950 c=5.4997 alpha=90.00 beta=90.00 gamma=90.00
Site moments in Bohr magnetons follow the coordinates.
Element x y z (fractional)
Br 0.5000 0.0000 0.0000  -0.07
Mg 0.0000 0.0000 0.0000  0.00
As 0.0000 0.0000 0.5000  -0.38
Nb 0.5000 0.5000 0.5000  2.44
Br 0.0000 0.5000 0.0000  -0.07

---

16.
A plane-wave DFT calculation with PBE-GGA was carried out for MgNiAs2Br after structural relaxation.

Space group ... P4/mmm, No. 123
Energy above the most stable polymorph in this dataset ... 686 meV per atom

Unit cell a=4.9865 b=4.9865 c=5.0782 alpha=90.00 beta=90.00 gamma=90.00
Site moments in Bohr magnetons follow the coordinates.
Element x y z (fractional)
As 0.0000 0.5000 0.0000  -0.03
Ni 0.5000 0.5000 0.5000  0.72
Mg 0.0000 0.0000 0.0000  0.00
As 0.5000 0.0000 0.0000  -0.03
Br 0.0000 0.0000 0.5000  0.00

---

17.
A plane-wave DFT calculation with PBE-GGA was carried out for MgNiAsBr2 after structural relaxation.

Space group ... P4/mmm, No. 123
Energy above the most stable polymorph in this dataset ... 0 meV per atom

Unit cell a=4.9495 b=4.9495 c=4.7677 alpha=90.00 beta=90.00 gamma=90.00
Site moments in Bohr magnetons follow the coordinates.
Element x y z (fractional)
As 0.0000 0.0000 0.5000  0.29
Ni 0.0000 0.0000 0.0000  0.17
Br 0.0000 0.5000 0.0000  0.04
Mg 0.5000 0.5000 0.5000  -0.01
Br 0.5000 0.0000 0.0000  0.04

---

18.
A plane-wave DFT calculation with PBE-GGA was carried out for MgNiAs2Br after structural relaxation.

Space group ... P4/mmm, No. 123
Energy above the most stable polymorph in this dataset ... 0 meV per atom

Unit cell a=4.3698 b=4.3698 c=6.7633 alpha=90.00 beta=90.00 gamma=90.00
Element x y z (fractional)
Br 0.0000 0.0000 0.5000
As 0.0000 0.5000 0.0000
Mg 0.5000 0.5000 0.5000
As 0.5000 0.0000 0.0000
Ni 0.0000 0.0000 0.0000

---

19.
A plane-wave DFT calculation with PBE-GGA was carried out for MgNiAsBr2 after structural relaxation.

Space group ... P4/mmm, No. 123
Energy above the most stable polymorph in this dataset ... 398 meV per atom

Unit cell a=5.0557 b=5.0557 c=5.4389 alpha=90.00 beta=90.00 gamma=90.00
Site moments in Bohr magnetons follow the coordinates.
Element x y z (fractional)
Mg 0.0000 0.0000 0.0000  0.00
Br 0.5000 0.0000 0.0000  -0.06
Br 0.0000 0.5000 0.0000  -0.06
As 0.0000 0.0000 0.5000  -0.39
Ni 0.5000 0.5000 0.5000  1.04

---

20.
A plane-wave DFT calculation with PBE-GGA was carried out for MgAsBr2O after structural relaxation.

Space group ... P4/mmm, No. 123
Energy above the most stable polymorph in this dataset ... 0 meV per atom

Unit cell a=4.8163 b=4.8163 c=4.4006 alpha=90.00 beta=90.00 gamma=90.00
Element x y z (fractional)
O 0.0000 0.0000 0.0000
Br 0.5000 0.0000 0.0000
Mg 0.5000 0.5000 0.5000
Br 0.0000 0.5000 0.0000
As 0.0000 0.0000 0.5000

---

21.
A plane-wave DFT calculation with PBE-GGA was carried out for MgAs2BrO after structural relaxation.

Space group ... P4/mmm, No. 123
Energy above the most stable polymorph in this dataset ... 0 meV per atom

Unit cell a=4.1257 b=4.1257 c=6.3739 alpha=90.00 beta=90.00 gamma=90.00
Element x y z (fractional)
As 0.0000 0.5000 0.0000
As 0.5000 0.0000 0.0000
Br 0.0000 0.0000 0.5000
O 0.0000 0.0000 0.0000
Mg 0.5000 0.5000 0.5000

---

22.
A plane-wave DFT calculation with PBE-GGA was carried out for MgAs2BrO after structural relaxation.

Space group ... P4/mmm, No. 123
Energy above the most stable polymorph in this dataset ... 937 meV per atom

Unit cell a=5.1091 b=5.1091 c=5.0048 alpha=90.00 beta=90.00 gamma=90.00
Site moments in Bohr magnetons follow the coordinates.
Element x y z (fractional)
Mg 0.0000 0.0000 0.0000  0.00
As 0.0000 0.5000 0.0000  -0.24
As 0.5000 0.0000 0.0000  -0.24
Br 0.0000 0.0000 0.5000  -0.08
O 0.5000 0.5000 0.5000  1.15

---

23.
A plane-wave DFT calculation with PBE-GGA was carried out for MgAsBr2O after structural relaxation.

Space group ... P4/mmm, No. 123
Energy above the most stable polymorph in this dataset ... 309 meV per atom

Unit cell a=5.0309 b=5.0309 c=5.4826 alpha=90.00 beta=90.00 gamma=90.00
Site moments in Bohr magnetons follow the coordinates.
Element x y z (fractional)
Br 0.5000 0.0000 0.0000  0.03
Br 0.0000 0.5000 0.0000  0.03
As 0.0000 0.0000 0.5000  0.39
O 0.5000 0.5000 0.5000  -0.28
Mg 0.0000 0.0000 0.0000  0.00

---

24.
A plane-wave DFT calculation with PBE-GGA was carried out for MgAs2OsBr after structural relaxation.

Space group ... P4/mmm, No. 123
Energy above the most stable polymorph in this dataset ... 0 meV per atom

Unit cell a=4.7266 b=4.7266 c=5.5837 alpha=90.00 beta=90.00 gamma=90.00
Element x y z (fractional)
Os 0.0000 0.0000 0.0000
As 0.5000 0.0000 0.0000
Mg 0.5000 0.5000 0.5000
As 0.0000 0.5000 0.0000
Br 0.0000 0.0000 0.5000

---

25.
A plane-wave DFT calculation with PBE-GGA was carried out for MgAs2PBr after structural relaxation.

Space group ... P4/mmm, No. 123
Energy above the most stable polymorph in this dataset ... 381 meV per atom

Unit cell a=5.1143 b=5.1143 c=4.8267 alpha=90.00 beta=90.00 gamma=90.00
Site moments in Bohr magnetons follow the coordinates.
Element x y z (fractional)
Br 0.0000 0.0000 0.5000  0.01
P 0.5000 0.5000 0.5000  0.09
As 0.5000 0.0000 0.0000  -0.04
Mg 0.0000 0.0000 0.0000  0.00
As 0.0000 0.5000 0.0000  -0.04

---

26.
A plane-wave DFT calculation with PBE-GGA was carried out for MgAs2PBr after structural relaxation.

Space group ... P4/mmm, No. 123
Energy above the most stable polymorph in this dataset ... 0 meV per atom

Unit cell a=4.8028 b=4.8028 c=5.1441 alpha=90.00 beta=90.00 gamma=90.00
Element x y z (fractional)
Br 0.0000 0.0000 0.5000
As 0.0000 0.5000 0.0000
P 0.0000 0.0000 0.0000
Mg 0.5000 0.5000 0.5000
As 0.5000 0.0000 0.0000

---

27.
A plane-wave DFT calculation with PBE-GGA was carried out for MgAsPbBr2 after structural relaxation.

Space group ... P4/mmm, No. 123
Energy above the most stable polymorph in this dataset ... 0 meV per atom

Unit cell a=5.2729 b=5.2729 c=5.7060 alpha=90.00 beta=90.00 gamma=90.00
Element x y z (fractional)
Mg 0.0000 0.0000 0.0000
Br 0.5000 0.0000 0.0000
As 0.0000 0.0000 0.5000
Pb 0.5000 0.5000 0.5000
Br 0.0000 0.5000 0.0000

---

28.
A plane-wave DFT calculation with PBE-GGA was carried out for MgAsPbBr2 after structural relaxation.

Space group ... P4/mmm, No. 123
Energy above the most stable polymorph in this dataset ... 376 meV per atom

Unit cell a=5.5499 b=5.0923 c=5.5499 alpha=90.00 beta=90.00 gamma=90.00
Element x y z (fractional)
As 0.0000 0.0000 0.0000
Mg 0.0000 0.5000 0.0000
Br 0.0000 0.0000 0.5000
Br 0.5000 0.0000 0.0000
Pb 0.5000 0.5000 0.5000

---

29.
A plane-wave DFT calculation with PBE-GGA was carried out for MgAsPdBr2 after structural relaxation.

Space group ... P4/mmm, No. 123
Energy above the most stable polymorph in this dataset ... 0 meV per atom

Unit cell a=5.1478 b=5.1478 c=5.0161 alpha=90.00 beta=90.00 gamma=90.00
Site moments in Bohr magnetons follow the coordinates.
Element x y z (fractional)
As 0.0000 0.0000 0.5000  0.37
Mg 0.5000 0.5000 0.5000  -0.03
Pd 0.0000 0.0000 0.0000  0.10
Br 0.5000 0.0000 0.0000  0.04
Br 0.0000 0.5000 0.0000  0.04

---

Ordered total moment results: 0.9, 0.0, 0.0, 0.0, 0.0, 0.6, 3.9, 0.0, 0.0, 0.6, 0.9, 0.0, 0.3, 2.3, 2.0, 0.6, 0.9, 0.0, 0.1, 0.0, 0.0, 0.3, 0.6, 0.0, 0.1, 0.0, 0.0, 0.0, 0.9; unit μB/cell.
Ordered E_form (uncorrected) results: -11.804, 8.258, -9.565, -17.083, -0.367, -3.366, -1.453, 5.006, 10.717, 12.374, 30.909, 0.923, -1.470, 16.856, 9.400, 19.296, 0.653, 3.487, 9.832, 4.066, -2.306, 19.298, 11.199, 8.980, 17.930, 9.146, -7.514, 1.168, 0.605; unit kcal/mol of atoms.
Ordered energy results: -2.909, -2.784, -2.793, -3.119, -2.133, -2.399, -3.815, -4.462, -3.714, -3.642, -2.838, -4.487, -3.996, -3.796, -3.524, -2.833, -3.046, -3.518, -2.648, -2.733, -3.605, -2.668, -2.424, -4.370, -2.818, -3.199, -2.985, -2.609, -2.930; unit eV per atom.